(1)
# Na4InHg3 PBE optimized geometry
# Space group: C2/m (12)
# Relative energy among the computed polymorphs (meV per atom): 4.1
# ΔE_f (meV per atom): -198
data_Na4InHg3
_chemical_formula_sum 'Na4 In1 Hg3'
_cell_length_a 4.7291
_cell_length_b 4.7291
_cell_length_c 9.9356
_cell_angle_alpha 103.92
_cell_angle_beta 103.77
_cell_angle_gamma 90.00
_symmetry_space_group_name_H-M 'P 1'
_symmetry_Int_Tables_number 1
loop_
_symmetry_equiv_pos_as_xyz
'x,y,z'
loop_
_atom_site_label
_atom_site_type_symbol
_atom_site_fract_x
_atom_site_fract_y
_atom_site_fract_z
Na1 Na 0.1280 0.1281 0.2559
Na2 Na 0.6280 0.6281 0.2559
Na3 Na 0.3720 0.3719 0.7441
Na4 Na 0.8720 0.8719 0.7441
Hg1 Hg 0.7499 0.2493 0.4998
Hg2 Hg 0.2501 0.7507 0.5002
Hg3 Hg 0.0000 0.5000 0.0000
In1 In 0.5000 0.0000 0.0000

---

(2)
# CeNbSb PBE optimized geometry
# Space group: C2/m (12)
# Energy relative to the elements, uncorrected (kcal/mol of atoms): -6.174
data_CeNbSb
_chemical_formula_sum 'Ce2 Nb2 Sb2'
_cell_length_a 5.2575
_cell_length_b 3.7257
_cell_length_c 10.8667
_cell_angle_alpha 108.56
_cell_angle_beta 90.00
_cell_angle_gamma 134.88
_symmetry_space_group_name_H-M 'P 1'
_symmetry_Int_Tables_number 1
loop_
_symmetry_equiv_pos_as_xyz
'x,y,z'
loop_
_atom_site_label
_atom_site_type_symbol
_atom_site_fract_x
_atom_site_fract_y
_atom_site_fract_z
Nb1 Nb 0.1836 0.3673 0.4230
Nb2 Nb 0.8164 0.6327 0.5770
Ce1 Ce 0.1339 0.2678 0.9240
Ce2 Ce 0.8661 0.7322 0.0760
Sb1 Sb 0.5470 0.0939 0.2761
Sb2 Sb 0.4530 0.9061 0.7239

---

no.,density of states at the Fermi level (states/eV/atom)
1,0.18
2,1.55